Entry 1:
Entry from Alexandria via LeMat-Bulk: a relaxed PrZn2SiPd2 crystal (PBE).

```
data_PrZn2SiPd2
_chemical_formula_sum 'Pr1 Zn2 Si1 Pd2'
_cell_length_a 4.583
_cell_length_b 4.583
_cell_length_c 5.696
_cell_angle_alpha 90.00
_cell_angle_beta 90.00
_cell_angle_gamma 90.00
_symmetry_space_group_name_H-M 'P 1'
_symmetry_Int_Tables_number 1
_symmetry_space_group_name_Hall 'P 1'
loop_
_atom_site_label
_atom_site_type_symbol
_atom_site_fract_x
_atom_site_fract_y
_atom_site_fract_z
Pr1 Pr 0.000 0.000 0.000
Zn1 Zn 0.500 0.500 0.232
Zn2 Zn 0.500 0.500 0.768
Si1 Si 0.000 0.000 0.500
Pd1 Pd 0.000 0.500 0.500
Pd2 Pd 0.500 0.000 0.500
```

Computed properties:
The calculation puts the formation energy from raw total energies at -441 meV/atom. Its density of states at the Fermi level is 4.4 states/eV/cell. For the density, the calculation gives 7117 kg/m3. Its magnetization is 0.00 μB per cell.

=====

Entry 2:
Entry from Alexandria via LeMat-Bulk: a relaxed Pr3Zn2SiPd9 crystal (PBE).

```
data_Pr3Zn2SiPd9
_chemical_formula_sum 'Pr3 Zn2 Si1 Pd9'
_cell_length_a 6.525
_cell_length_b 6.525
_cell_length_c 8.531
_cell_angle_alpha 90.00
_cell_angle_beta 90.00
_cell_angle_gamma 120.00
_symmetry_space_group_name_H-M 'P 1'
_symmetry_Int_Tables_number 1
_symmetry_space_group_name_Hall 'P 1'
loop_
_atom_site_label
_atom_site_type_symbol
_atom_site_fract_x
_atom_site_fract_y
_atom_site_fract_z
Pr1 Pr 0.000 0.000 0.000
Pr2 Pr 0.333 0.667 0.691
Pr3 Pr 0.667 0.333 0.309
Zn1 Zn 0.333 0.667 0.186
Zn2 Zn 0.667 0.333 0.814
Si1 Si 0.000 0.000 0.500
Pd1 Pd 0.000 0.500 0.000
Pd2 Pd 0.142 0.284 0.301
Pd3 Pd 0.142 0.858 0.301
Pd4 Pd 0.284 0.142 0.699
Pd5 Pd 0.500 0.000 0.000
Pd6 Pd 0.500 0.500 0.000
Pd7 Pd 0.716 0.858 0.301
Pd8 Pd 0.858 0.142 0.699
Pd9 Pd 0.858 0.716 0.699
```

Computed properties:
The calculation puts the formation energy from raw total energies at -486 meV/atom. Its density of states at the Fermi level is 7.4 states/eV/cell. For the density, the calculation gives 8126 kg/m3. Its magnetization is 0.00 μB per cell.

=====

Entry 3:
Entry from Alexandria via LeMat-Bulk: a relaxed Pr2ZnSi4Pd3 crystal (PBE).

```
data_Pr2ZnSi4Pd3
_chemical_formula_sum 'Pr2 Zn1 Si4 Pd3'
_cell_length_a 4.252
_cell_length_b 4.252
_cell_length_c 10.087
_cell_angle_alpha 90.00
_cell_angle_beta 90.00
_cell_angle_gamma 90.00
_symmetry_space_group_name_H-M 'P 1'
_symmetry_Int_Tables_number 1
_symmetry_space_group_name_Hall 'P 1'
loop_
_atom_site_label
_atom_site_type_symbol
_atom_site_fract_x
_atom_site_fract_y
_atom_site_fract_z
Pr1 Pr 0.000 0.500 0.247
Pr2 Pr 0.500 0.000 0.753
Zn1 Zn 0.000 0.000 0.500
Si1 Si 0.000 0.000 0.000
Si2 Si 0.000 0.500 0.637
Si3 Si 0.500 0.000 0.363
Si4 Si 0.500 0.500 0.000
Pd1 Pd 0.000 0.500 0.881
Pd2 Pd 0.500 0.000 0.119
Pd3 Pd 0.500 0.500 0.500
```

Computed properties:
The calculation puts the formation energy from raw total energies at -804 meV/atom. Its density of states at the Fermi level is 3.7 states/eV/cell. For the density, the calculation gives 7093 kg/m3. Its magnetization is 0.00 μB per cell.

=====

Entry 4:
Entry from Alexandria via LeMat-Bulk: a relaxed PrZn2SiPd crystal (PBE).

```
data_PrZn2SiPd
_chemical_formula_sum 'Pr2 Zn4 Si2 Pd2'
_cell_length_a 4.223
_cell_length_b 4.265
_cell_length_c 10.392
_cell_angle_alpha 90.00
_cell_angle_beta 90.00
_cell_angle_gamma 90.00
_symmetry_space_group_name_H-M 'P 1'
_symmetry_Int_Tables_number 1
_symmetry_space_group_name_Hall 'P 1'
loop_
_atom_site_label
_atom_site_type_symbol
_atom_site_fract_x
_atom_site_fract_y
_atom_site_fract_z
Pr1 Pr 0.000 0.000 0.000
Pr2 Pr 0.500 0.500 0.500
Zn1 Zn 0.000 0.000 0.382
Zn2 Zn 0.000 0.500 0.246
Zn3 Zn 0.500 0.000 0.746
Zn4 Zn 0.500 0.500 0.882
Si1 Si 0.000 0.000 0.615
Si2 Si 0.500 0.500 0.115
Pd1 Pd 0.000 0.500 0.735
Pd2 Pd 0.500 0.000 0.235
```

Computed properties:
The calculation puts the formation energy from raw total energies at -598 meV/atom. Its density of states at the Fermi level is 4.7 states/eV/cell. For the density, the calculation gives 7209 kg/m3. Its magnetization is 0.00 μB per cell.

=====

Entry 5:
Entry from Alexandria via LeMat-Bulk: a relaxed PrSm3Pd2 crystal (PBE).

```
data_PrSm3Pd2
_chemical_formula_sum 'Pr2 Sm6 Pd4'
_cell_length_a 7.331
_cell_length_b 7.331
_cell_length_c 7.991
_cell_angle_alpha 105.79
_cell_angle_beta 105.79
_cell_angle_gamma 56.66
_symmetry_space_group_name_H-M 'P 1'
_symmetry_Int_Tables_number 1
_symmetry_space_group_name_Hall 'P 1'
loop_
_atom_site_label
_atom_site_type_symbol
_atom_site_fract_x
_atom_site_fract_y
_atom_site_fract_z
Pr1 Pr 0.241 0.759 0.750
Pr2 Pr 0.759 0.241 0.250
Sm1 Sm 0.213 0.215 0.107
Sm2 Sm 0.215 0.213 0.607
Sm3 Sm 0.256 0.744 0.250
Sm4 Sm 0.744 0.256 0.750
Sm5 Sm 0.785 0.787 0.393
Sm6 Sm 0.787 0.785 0.893
Pd1 Pd 0.378 0.380 0.439
Pd2 Pd 0.380 0.378 0.939
Pd3 Pd 0.620 0.622 0.061
Pd4 Pd 0.622 0.620 0.561
```

Computed properties:
Its density of states at the Fermi level is 15.2 states/eV/cell. The formation enthalpy at 0 K is -47.7 kJ per mole of atoms. For the density, the calculation gives 7832 kg/m3. Its magnetization is 0.00 μB per cell.

=====

Entry 6:
Entry from Alexandria via LeMat-Bulk: a relaxed PrSm3Pd3 crystal (PBE).

```
data_PrSm3Pd3
_chemical_formula_sum 'Pr2 Sm6 Pd6'
_cell_length_a 7.164
_cell_length_b 7.164
_cell_length_c 7.219
_cell_angle_alpha 90.88
_cell_angle_beta 90.88
_cell_angle_gamma 96.79
_symmetry_space_group_name_H-M 'P 1'
_symmetry_Int_Tables_number 1
_symmetry_space_group_name_Hall 'P 1'
loop_
_atom_site_label
_atom_site_type_symbol
_atom_site_fract_x
_atom_site_fract_y
_atom_site_fract_z
Pr1 Pr 0.236 0.236 0.376
Pr2 Pr 0.764 0.764 0.624
Sm1 Sm 0.156 0.156 0.870
Sm2 Sm 0.252 0.748 0.500
Sm3 Sm 0.322 0.678 0.000
Sm4 Sm 0.678 0.322 0.000
Sm5 Sm 0.748 0.252 0.500
Sm6 Sm 0.844 0.844 0.130
Pd1 Pd 0.008 0.506 0.777
Pd2 Pd 0.437 0.437 0.694
Pd3 Pd 0.494 0.992 0.223
Pd4 Pd 0.506 0.008 0.777
Pd5 Pd 0.563 0.563 0.306
Pd6 Pd 0.992 0.494 0.223
```

Computed properties:
Its density of states at the Fermi level is 12.7 states/eV/cell. The formation enthalpy at 0 K is -59.0 kJ per mole of atoms. For the density, the calculation gives 8229 kg/m3. Its magnetization is 0.00 μB per cell.

=====

Entry 7:
Entry from Alexandria via LeMat-Bulk: a relaxed Pr2SmPd3 crystal (PBE).

```
data_Pr2SmPd3
_chemical_formula_sum 'Pr4 Sm2 Pd6'
_cell_length_a 7.300
_cell_length_b 7.300
_cell_length_c 8.435
_cell_angle_alpha 106.86
_cell_angle_beta 106.86
_cell_angle_gamma 48.18
_symmetry_space_group_name_H-M 'P 1'
_symmetry_Int_Tables_number 1
_symmetry_space_group_name_Hall 'P 1'
loop_
_atom_site_label
_atom_site_type_symbol
_atom_site_fract_x
_atom_site_fract_y
_atom_site_fract_z
Pr1 Pr 0.164 0.170 0.084
Pr2 Pr 0.170 0.164 0.584
Pr3 Pr 0.830 0.836 0.416
Pr4 Pr 0.836 0.830 0.916
Sm1 Sm 0.496 0.504 0.750
Sm2 Sm 0.504 0.496 0.250
Pd1 Pd 0.004 0.996 0.250
Pd2 Pd 0.334 0.340 0.419
Pd3 Pd 0.340 0.334 0.919
Pd4 Pd 0.660 0.666 0.081
Pd5 Pd 0.666 0.660 0.581
Pd6 Pd 0.996 0.004 0.750
```

Computed properties:
Its density of states at the Fermi level is 8.6 states/eV/cell. The formation enthalpy at 0 K is -64.6 kJ per mole of atoms. For the density, the calculation gives 7857 kg/m3. Its magnetization is 0.00 μB per cell.

=====

Entry 8:
Entry from Alexandria via LeMat-Bulk: a relaxed PrSm2Pd crystal (PBE).

```
data_PrSm2Pd
_chemical_formula_sum 'Pr1 Sm2 Pd1'
_cell_length_a 3.659
_cell_length_b 3.659
_cell_length_c 8.738
_cell_angle_alpha 90.00
_cell_angle_beta 90.00
_cell_angle_gamma 90.00
_symmetry_space_group_name_H-M 'P 1'
_symmetry_Int_Tables_number 1
_symmetry_space_group_name_Hall 'P 1'
loop_
_atom_site_label
_atom_site_type_symbol
_atom_site_fract_x
_atom_site_fract_y
_atom_site_fract_z
Pr1 Pr 0.000 0.000 0.000
Sm1 Sm 0.500 0.500 0.306
Sm2 Sm 0.500 0.500 0.694
Pd1 Pd 0.000 0.000 0.500
```

Computed properties:
The offset from the most stable computed form comes out at 0.061 eV per atom. Its density of states at the Fermi level is 6.3 states/eV/cell. The formation enthalpy at 0 K is -34.5 kJ per mole of atoms. For the density, the calculation gives 7779 kg/m3. Its magnetization is 0.00 μB per cell.

=====

Entry 9:
Entry from Alexandria via LeMat-Bulk: a relaxed Pr3SmPd crystal (PBE).

```
data_Pr3SmPd
_chemical_formula_sum 'Pr6 Sm2 Pd2'
_cell_length_a 6.573
_cell_length_b 6.573
_cell_length_c 14.241
_cell_angle_alpha 113.57
_cell_angle_beta 113.57
_cell_angle_gamma 34.22
_symmetry_space_group_name_H-M 'P 1'
_symmetry_Int_Tables_number 1
_symmetry_space_group_name_Hall 'P 1'
loop_
_atom_site_label
_atom_site_type_symbol
_atom_site_fract_x
_atom_site_fract_y
_atom_site_fract_z
Pr1 Pr 0.000 0.000 0.000
Pr2 Pr 0.024 0.024 0.372
Pr3 Pr 0.230 0.230 0.839
Pr4 Pr 0.345 0.345 0.136
Pr5 Pr 0.668 0.668 0.239
Pr6 Pr 0.695 0.695 0.606
Sm1 Sm 0.347 0.347 0.474
Sm2 Sm 0.464 0.464 0.762
Pd1 Pd 0.000 0.000 0.623
Pd2 Pd 0.686 0.686 0.981
```

Computed properties:
Its density of states at the Fermi level is 12.1 states/eV/cell. The formation enthalpy at 0 K is -30.0 kJ per mole of atoms. For the density, the calculation gives 7181 kg/m3. Its magnetization is 0.00 μB per cell.

=====

Entry 10:
Entry from Alexandria via LeMat-Bulk: a relaxed Pr3Sm3Pd2 crystal (PBE).

```
data_Pr3Sm3Pd2
_chemical_formula_sum 'Pr6 Sm6 Pd4'
_cell_length_a 6.793
_cell_length_b 6.793
_cell_length_c 18.639
_cell_angle_alpha 90.00
_cell_angle_beta 90.00
_cell_angle_gamma 145.85
_symmetry_space_group_name_H-M 'P 1'
_symmetry_Int_Tables_number 1
_symmetry_space_group_name_Hall 'P 1'
loop_
_atom_site_label
_atom_site_type_symbol
_atom_site_fract_x
_atom_site_fract_y
_atom_site_fract_z
Pr1 Pr 0.055 0.945 0.608
Pr2 Pr 0.055 0.945 0.892
Pr3 Pr 0.357 0.643 0.750
Pr4 Pr 0.643 0.357 0.250
Pr5 Pr 0.945 0.055 0.108
Pr6 Pr 0.945 0.055 0.392
Sm1 Sm 0.348 0.652 0.541
Sm2 Sm 0.348 0.652 0.959
Sm3 Sm 0.374 0.626 0.250
Sm4 Sm 0.626 0.374 0.750
Sm5 Sm 0.652 0.348 0.041
Sm6 Sm 0.652 0.348 0.459
Pd1 Pd 0.242 0.758 0.128
Pd2 Pd 0.242 0.758 0.372
Pd3 Pd 0.758 0.242 0.628
Pd4 Pd 0.758 0.242 0.872
```

Computed properties:
Its density of states at the Fermi level is 15.8 states/eV/cell. The formation enthalpy at 0 K is -32.3 kJ per mole of atoms. For the density, the calculation gives 7475 kg/m3. Its magnetization is 0.00 μB per cell.

=====

Entry 11:
Entry from Alexandria via LeMat-Bulk: a relaxed Pr3SmPd3 crystal (PBE).

```
data_Pr3SmPd3
_chemical_formula_sum 'Pr6 Sm2 Pd6'
_cell_length_a 7.222
_cell_length_b 7.222
_cell_length_c 7.312
_cell_angle_alpha 90.92
_cell_angle_beta 90.92
_cell_angle_gamma 96.68
_symmetry_space_group_name_H-M 'P 1'
_symmetry_Int_Tables_number 1
_symmetry_space_group_name_Hall 'P 1'
loop_
_atom_site_label
_atom_site_type_symbol
_atom_site_fract_x
_atom_site_fract_y
_atom_site_fract_z
Pr1 Pr 0.177 0.823 0.000
Pr2 Pr 0.253 0.747 0.500
Pr3 Pr 0.344 0.344 0.127
Pr4 Pr 0.656 0.656 0.873
Pr5 Pr 0.747 0.253 0.500
Pr6 Pr 0.823 0.177 0.000
Sm1 Sm 0.256 0.256 0.624
Sm2 Sm 0.744 0.744 0.376
Pd1 Pd 0.018 0.502 0.780
Pd2 Pd 0.063 0.063 0.312
Pd3 Pd 0.498 0.982 0.220
Pd4 Pd 0.502 0.018 0.780
Pd5 Pd 0.937 0.937 0.688
Pd6 Pd 0.982 0.498 0.220
```

Computed properties:
Its density of states at the Fermi level is 12.9 states/eV/cell. The formation enthalpy at 0 K is -56.8 kJ per mole of atoms. For the density, the calculation gives 7826 kg/m3. Its magnetization is 0.00 μB per cell.

=====

Entry 12:
Entry from Alexandria via LeMat-Bulk: a relaxed Pr2SmPd2 crystal (PBE).

```
data_Pr2SmPd2
_chemical_formula_sum 'Pr4 Sm2 Pd4'
_cell_length_a 8.071
_cell_length_b 8.071
_cell_length_c 4.060
_cell_angle_alpha 90.00
_cell_angle_beta 90.00
_cell_angle_gamma 90.00
_symmetry_space_group_name_H-M 'P 1'
_symmetry_Int_Tables_number 1
_symmetry_space_group_name_Hall 'P 1'
loop_
_atom_site_label
_atom_site_type_symbol
_atom_site_fract_x
_atom_site_fract_y
_atom_site_fract_z
Pr1 Pr 0.168 0.332 0.000
Pr2 Pr 0.332 0.832 0.000
Pr3 Pr 0.668 0.168 0.000
Pr4 Pr 0.832 0.668 0.000
Sm1 Sm 0.000 0.000 0.500
Sm2 Sm 0.500 0.500 0.500
Pd1 Pd 0.127 0.627 0.500
Pd2 Pd 0.373 0.127 0.500
Pd3 Pd 0.627 0.873 0.500
Pd4 Pd 0.873 0.373 0.500
```

Computed properties:
The offset from the most stable computed form comes out at 0.000 eV per atom. Its density of states at the Fermi level is 7.8 states/eV/cell. The formation enthalpy at 0 K is -60.5 kJ per mole of atoms. For the density, the calculation gives 8100 kg/m3. Its magnetization is 0.00 μB per cell.

=====

Look up the magnetization of the ninth one.
0.00 μB per cell